No. 1
Below is crystalline BeCoBPt at its relaxed geometry, with properties calculated at the PBE level.

As for the distance to the lowest polymorph of the same formula: 0.603 eV/atom. The calculation puts the total energy at -5.52 eV/atom. Its density is 10.71 g cm⁻³. The calculation puts the total magnetization at 3.7 Bohr magnetons per cell.

The space group is F-43m (No. 216) and the conventional cell measures 5.537, 5.537 and 5.537 Å, with angles of 90.00, 90.00 and 90.00 degrees. The asymmetric unit holds Be at (0.000, 0.000, 0.000), Co at (0.000, 0.000, 0.500), B at (0.250, 0.250, 0.250) and Pt at (0.250, 0.250, 0.750).



No. 2
Below is crystalline Na2HfBr6 at its relaxed geometry, with properties calculated at the PBE level.

The calculation puts the total energy at -3.99 eV/atom. Its density is 4.17 g cm⁻³. The calculation puts the total magnetization at 0.0 Bohr magnetons per cell.

The space group is P2_1/c (No. 14) and the conventional cell measures 7.045, 7.482 and 12.547 Å, with angles of 90.00, 122.02 and 90.00 degrees. The asymmetric unit holds Na at (0.185, 0.095, 0.231), Hf at (0.500, 0.000, 0.000), Br at (0.142, 0.189, 0.939), Br at (0.258, 0.707, 0.925) and Br at (0.420, 0.051, 0.772).



No. 3
Below is crystalline NbZn2Tc at its relaxed geometry, with properties calculated at the PBE level.

The formation energy is 0.061 eV per atom. The calculation puts the total energy at -5.69 eV/atom. Its density is 8.69 g cm⁻³. The calculation puts the total magnetization at 0.0 Bohr magnetons per cell.

The space group is F-43m (No. 216) and the conventional cell measures 6.266, 6.266 and 6.266 Å, with angles of 90.00, 90.00 and 90.00 degrees. The asymmetric unit holds Nb at (0.000, 0.000, 0.000), Zn at (0.000, 0.000, 0.500), Zn at (0.250, 0.250, 0.750) and Tc at (0.250, 0.250, 0.250).



No. 4
Below is crystalline DyHfPbC at its relaxed geometry, with properties calculated at the PBE level.

As for the distance to the lowest polymorph of the same formula: 0.047 eV/atom. The calculation puts the total energy at -7.41 eV/atom. Its density is 11.42 g cm⁻³. The calculation puts the total magnetization at 0.0 Bohr magnetons per cell.

The space group is P-3m1 (No. 164) and the conventional cell measures 3.4851, 3.4851 and 15.4857 Å, with angles of 90.00, 90.00 and 120.00 degrees. The asymmetric unit holds Dy at (0.3333, 0.6667, 0.4129), Hf at (0.3333, 0.6667, 0.0758), Pb at (0.3333, 0.6667, 0.7643), C at (0.0000, 0.0000, 0.0000) and C at (0.0000, 0.0000, 0.5000).



No. 5
Below is crystalline Hf3Cl2 at its relaxed geometry, with properties calculated at the PBE level.

The calculation puts the total energy at -6.72 eV/atom. Its density is 10.36 g cm⁻³. The calculation puts the total magnetization at 0.0 Bohr magnetons per cell.

The space group is R-3c (No. 167, hexagonal axes) and the conventional cell measures 5.7916, 5.7916 and 20.0815 Å, with angles of 90.00, 90.00 and 120.00 degrees. The asymmetric unit holds Hf at (0.0000, 0.3619, 0.2500) and Cl at (0.0000, 0.0000, 0.1707).



No. 6
Below is crystalline Be2CdSn at its relaxed geometry, with properties calculated at the PBE level.

The calculation puts the total energy at -2.30 eV/atom. Its density is 5.82 g cm⁻³.

The space group is F-43m (No. 216) and the conventional cell measures 6.577, 6.577 and 6.577 Å, with angles of 90.00, 90.00 and 90.00 degrees. The asymmetric unit holds Be at (0.000, 0.000, 0.000), Be at (0.250, 0.250, 0.250), Cd at (0.250, 0.250, 0.750) and Sn at (0.000, 0.000, 0.500).